Entry 1:
# La3Mg3Tl2Pd | OQMD | PBE | relaxed
data_La3Mg3Tl2Pd
_space_group_name_H-M_alt 'P -6 2 m'
_space_group_IT_number 189
_space_group_name_Hall 'P -6 -2'
_cell_length_a 7.7292
_cell_length_b 7.7292
_cell_length_c 4.7558
_cell_angle_alpha 90.00
_cell_angle_beta 90.00
_cell_angle_gamma 120.00
loop_
_atom_site_label
_atom_site_type_symbol
_atom_site_fract_x
_atom_site_fract_y
_atom_site_fract_z
_atom_site_occupancy
La1 La 0.0000 0.3993 0.0000 1
Mg1 Mg 0.0000 0.7719 0.5000 1
Tl1 Tl 0.3333 0.6667 0.5000 1
Pd1 Pd 0.0000 0.0000 0.0000 1
# Mass density = 6.781 g/cm3
# Raw total energy = -0.27301 Ry/atom


Entry 2:
# LaMgTlPd | OQMD | PBE | relaxed
data_LaMgTlPd
_space_group_name_H-M_alt 'F -4 3 m'
_space_group_IT_number 216
_space_group_name_Hall 'F -4 2 3'
_cell_length_a 7.156
_cell_length_b 7.156
_cell_length_c 7.156
_cell_angle_alpha 90.00
_cell_angle_beta 90.00
_cell_angle_gamma 90.00
loop_
_atom_site_label
_atom_site_type_symbol
_atom_site_fract_x
_atom_site_fract_y
_atom_site_fract_z
_atom_site_occupancy
La1 La 0.000 0.000 0.000 1
Mg1 Mg 0.250 0.250 0.250 1
Tl1 Tl 0.000 0.000 0.500 1
Pd1 Pd 0.250 0.250 0.750 1
# Excess energy over the best structure of this formula in the dataset = 56.3 meV per atom
# Mass density = 8.593 g/cm3
# Raw total energy = -0.28799 Ry/atom


Entry 3:
# LaMgTlPd | OQMD | PBE | relaxed
data_LaMgTlPd
_space_group_name_H-M_alt 'F -4 3 m'
_space_group_IT_number 216
_space_group_name_Hall 'F -4 2 3'
_cell_length_a 7.271
_cell_length_b 7.271
_cell_length_c 7.271
_cell_angle_alpha 90.00
_cell_angle_beta 90.00
_cell_angle_gamma 90.00
loop_
_atom_site_label
_atom_site_type_symbol
_atom_site_fract_x
_atom_site_fract_y
_atom_site_fract_z
_atom_site_occupancy
La1 La 0.000 0.000 0.000 1
Mg1 Mg 0.000 0.000 0.500 1
Tl1 Tl 0.250 0.250 0.750 1
Pd1 Pd 0.250 0.250 0.250 1
# Excess energy over the best structure of this formula in the dataset = 0.0 meV per atom
# Mass density = 8.192 g/cm3
# Raw total energy = -0.29213 Ry/atom


Entry 4:
# LaPmMg | OQMD | PBE | relaxed
data_LaPmMg
_space_group_name_H-M_alt 'F -4 3 m'
_space_group_IT_number 216
_space_group_name_Hall 'F -4 2 3'
_cell_length_a 7.641
_cell_length_b 7.641
_cell_length_c 7.641
_cell_angle_alpha 90.00
_cell_angle_beta 90.00
_cell_angle_gamma 90.00
loop_
_atom_site_label
_atom_site_type_symbol
_atom_site_fract_x
_atom_site_fract_y
_atom_site_fract_z
_atom_site_occupancy
La1 La 0.000 0.000 0.000 1
Pm1 Pm 0.000 0.000 0.500 1
Mg1 Mg 0.250 0.250 0.250 1
# Excess energy over the best structure of this formula in the dataset = 0.0 meV per atom
# Mass density = 4.589 g/cm3
# Raw total energy = -0.24854 Ry/atom


Entry 5:
# LaPrMg6 | OQMD | PBE | relaxed
data_LaPrMg6
_space_group_name_H-M_alt 'P m m 2'
_space_group_IT_number 25
_cell_length_a 5.291
_cell_length_b 7.458
_cell_length_c 5.291
_cell_angle_alpha 90.00
_cell_angle_beta 90.00
_cell_angle_gamma 90.00
loop_
_space_group_symop_operation_xyz
'x,y,z'
'-x,-y,z'
'-x,y,z'
'x,-y,z'
loop_
_atom_site_label
_atom_site_type_symbol
_atom_site_fract_x
_atom_site_fract_y
_atom_site_fract_z
_atom_site_occupancy
La1 La 0.000 0.000 0.000 1
Pr1 Pr 0.500 0.500 0.509 1
Mg1 Mg 0.000 0.251 0.499 1
Mg2 Mg 0.000 0.500 0.001 1
Mg3 Mg 0.500 0.000 0.508 1
Mg4 Mg 0.500 0.251 0.009 1
# Excess energy over the best structure of this formula in the dataset = 0.1 meV per atom
# Mass density = 3.385 g/cm3
# Raw total energy = -0.18396 Ry/atom


Entry 6:
# LaPrMg4 | OQMD | PBE | relaxed
data_LaPrMg4
_space_group_name_H-M_alt 'I m m 2'
_space_group_IT_number 44
_cell_length_a 5.344
_cell_length_b 6.790
_cell_length_c 9.250
_cell_angle_alpha 90.00
_cell_angle_beta 90.00
_cell_angle_gamma 90.00
loop_
_space_group_symop_operation_xyz
'x,y,z'
'-x,-y,z'
'-x,y,z'
'x,-y,z'
'x+1/2,y+1/2,z+1/2'
'-x+1/2,-y+1/2,z+1/2'
'-x+1/2,y+1/2,z+1/2'
'x+1/2,-y+1/2,z+1/2'
loop_
_atom_site_label
_atom_site_type_symbol
_atom_site_fract_x
_atom_site_fract_y
_atom_site_fract_z
_atom_site_occupancy
La1 La 0.000 0.000 0.000 1
Pr1 Pr 0.000 0.500 0.999 1
Mg1 Mg 0.000 0.249 0.666 1
Mg2 Mg 0.000 0.250 0.333 1
# Mass density = 3.731 g/cm3
# Raw total energy = -0.20230 Ry/atom


Entry 7:
# LaPrMg4 | OQMD | PBE | relaxed
data_LaPrMg4
_space_group_name_H-M_alt 'P 1 2/m 1'
_space_group_IT_number 10
_cell_length_a 3.393
_cell_length_b 5.349
_cell_length_c 9.262
_cell_angle_alpha 90.00
_cell_angle_beta 90.00
_cell_angle_gamma 90.00
loop_
_space_group_symop_operation_xyz
'x,y,z'
'-x,-y,-z'
'-x,y,-z'
'x,-y,z'
loop_
_atom_site_label
_atom_site_type_symbol
_atom_site_fract_x
_atom_site_fract_y
_atom_site_fract_z
_atom_site_occupancy
La1 La 0.000 0.000 0.000 1
Pr1 Pr 0.000 0.500 0.500 1
Mg1 Mg 0.497 0.000 0.665 1
Mg2 Mg 0.497 0.500 0.168 1
# Mass density = 3.724 g/cm3
# Raw total energy = -0.20229 Ry/atom


Entry 8:
# LaPrMg6 | OQMD | PBE | relaxed
data_LaPrMg6
_space_group_name_H-M_alt 'A m m 2'
_space_group_IT_number 38
_cell_length_a 5.253
_cell_length_b 6.900
_cell_length_c 11.933
_cell_angle_alpha 90.00
_cell_angle_beta 90.00
_cell_angle_gamma 90.00
loop_
_space_group_symop_operation_xyz
'x,y,z'
'-x,-y,z'
'-x,y,z'
'x,-y,z'
'x,y+1/2,z+1/2'
'-x,-y+1/2,z+1/2'
'-x,y+1/2,z+1/2'
'x,-y+1/2,z+1/2'
loop_
_atom_site_label
_atom_site_type_symbol
_atom_site_fract_x
_atom_site_fract_y
_atom_site_fract_z
_atom_site_occupancy
La1 La 0.000 0.000 0.000 1
Pr1 Pr 0.500 0.000 0.668 1
Mg1 Mg 0.000 0.000 0.496 1
Mg2 Mg 0.000 0.241 0.253 1
Mg3 Mg 0.500 0.000 0.173 1
Mg4 Mg 0.500 0.239 0.414 1
# Excess energy over the best structure of this formula in the dataset = 33.1 meV per atom
# Mass density = 3.268 g/cm3
# Raw total energy = -0.18153 Ry/atom